A relaxed structure of Ba2YMg, computed with PBE.

The structure in POSCAR format:
```
Ba2YMg
1.0
7.1819 0.0025 0.0225
5.7932 4.2448 0.0225
2.4247 0.7937 5.3515
Ba Y Mg
2 1 1
direct
0.0208 0.0208 0.9794 Ba
0.4792 0.4792 0.5206 Ba
0.2500 0.2500 0.2500 Y
0.7500 0.7500 0.7500 Mg
```


A relaxed structure of Sc2Ta2Cr, computed with PBE.

The structure in POSCAR format:
```
Sc2Ta2Cr
1.0
-5.6652 2.0083 2.0414
-2.8599 -3.7341 -4.2630
-0.1145 -3.6585 3.2814
Sc Ta Cr
4 4 2
direct
0.1676 0.6676 0.5000 Sc
0.3324 0.1676 0.5000 Sc
0.6676 0.8324 0.5000 Sc
0.8324 0.3324 0.5000 Sc
0.8487 0.6513 0.0000 Ta
0.1513 0.3487 0.0000 Ta
0.3487 0.8487 0.0000 Ta
0.6513 0.1513 0.0000 Ta
0.0000 0.0000 0.0000 Cr
0.5000 0.5000 0.0000 Cr
```


The records above give, respectively, energy of formation from the pure elements values of 0.2095 0.3174 eV/atom.
The records above give, respectively, calculated volume values of 40.70 19.81 A^3/atom.
The records above give, respectively, magnetization values of 0.01 0.34 Bohr magnetons per cell.